Entry 1:
This record from Alexandria describes a relaxed structure of Na2InNiO4. The functional is PBE+U.

The density of states at the Fermi level is 2.74 states/eV/cell. For the spin magnetization, the calculation gives 0.13 μB/atom. Its total energy is -4.792 eV/atom.

The structure belongs to space group P2/m (No. 10); the cell edges are 5.531, 3.120 and 5.789 Å and the angles 90.00°, 109.51° and 90.00°. The inequivalent atoms are Na at (0.000, 0.000, 0.000), Na at (0.500, 0.500, 0.000), In at (0.000, 0.500, 0.500), Ni at (0.500, 0.000, 0.500), O at (0.240, 0.000, 0.721) and O at (0.291, 0.500, 0.307).

Entry 2:
This record from Alexandria describes a relaxed structure of Na3In2NiO6. The functional is PBE+U.

The density of states at the Fermi level is 0.00 states/eV/cell. For the spin magnetization, the calculation gives 0.24 μB/atom. Its total energy is -4.882 eV/atom.

The structure belongs to space group C2/m (No. 12); the cell edges are 5.533, 9.605 and 5.777 Å and the angles 90.00°, 108.58° and 90.00°. The inequivalent atoms are Na at (0.000, 0.000, 0.000), Na at (0.000, 0.337, 0.000), In at (0.000, 0.167, 0.500), Ni at (0.000, 0.500, 0.500), O at (0.227, 0.343, 0.710) and O at (0.244, 0.500, 0.295).

Entry 3:
This record from Alexandria describes a relaxed structure of Na3In3NiO8. The functional is PBE+U.

For the spin magnetization, the calculation gives 0.00 μB/atom. Its total energy is -5.015 eV/atom.

The structure belongs to space group R-3m (No. 166, hexagonal axes); the cell edges are 6.3764, 6.3764 and 16.5934 Å and the angles 90.00°, 90.00° and 120.00°. The inequivalent atoms are Na at (0.0000, 0.5000, 0.0000), In at (0.0000, 0.5000, 0.5000), Ni at (0.0000, 0.0000, 0.5000), O at (0.0000, 0.0000, 0.2381) and O at (0.0394, 0.5197, 0.2312).